Density functional theory data (PBE-GGA) for a relaxed CsTaNiS5 crystal.

Results
* raw total energy: -5.51 eV/atom

Cell lengths 6.835, 7.185, 9.535 Å; angles 109.02, 91.72, 107.59 degrees
Atoms (fractional coordinates):
Cs  0.374  0.660  0.316
Cs  0.626  0.340  0.684
Ni  0.036  0.089  0.405
Ni  0.964  0.911  0.595
S  0.919  0.758  0.024
S  0.587  0.266  0.061
S  0.821  0.155  0.275
S  0.290  0.136  0.279
S  0.910  0.761  0.358
S  0.090  0.239  0.642
S  0.710  0.864  0.721
S  0.179  0.845  0.725
S  0.413  0.734  0.939
S  0.081  0.242  0.976
Ta  0.243  0.998  0.001
Ta  0.757  0.002  0.999